Entry i
Density functional theory data (PBE+U) for a geometry-optimized NiHgO structure.

For the calculated volume, the calculation gives 17.28 A^3/atom. The calculation puts the total magnetization at 0.254 μB per atom. The value obtained for the density of states at the Fermi level is 0.166 states/eV per atom. As for the crystal system: monoclinic. The symmetry is No. 6. The calculation puts the density at 8.82 g/cm3.

```
data_NiHgO
_chemical_formula_sum 'Ni2 Hg2 O2'
_space_group_name_H-M_alt 'P 1'
_space_group_IT_number 1
_cell_length_a 6.046
_cell_length_b 2.849
_cell_length_c 6.019
_cell_angle_alpha 90.00
_cell_angle_beta 91.41
_cell_angle_gamma 90.00
loop_
_space_group_symop_operation_xyz
'x,y,z'
loop_
_atom_site_label
_atom_site_type_symbol
_atom_site_fract_x
_atom_site_fract_y
_atom_site_fract_z
_atom_site_occupancy
O1 O 0.832 0.500 0.397 1
O2 O 0.240 0.500 0.373 1
Ni1 Ni 0.036 0.000 0.385 1
Ni2 Ni 0.536 0.500 0.385 1
Hg1 Hg 0.037 0.000 0.885 1
Hg2 Hg 0.537 0.500 0.885 1
```

=====

Entry ii
Density functional theory data (PBE+U) for a geometry-optimized NiHgO structure.

For the calculated volume, the calculation gives 16.39 A^3/atom. The calculation puts the total magnetization at 0.249 μB per atom. The value obtained for the density of states at the Fermi level is 0.174 states/eV per atom. As for the crystal system: monoclinic. The symmetry is No. 12. The calculation puts the density at 9.30 g/cm3.

```
data_NiHgO
_chemical_formula_sum 'Ni4 Hg4 O4'
_space_group_name_H-M_alt 'P 1'
_space_group_IT_number 1
_cell_length_a 5.730
_cell_length_b 2.864
_cell_length_c 12.165
_cell_angle_alpha 90.00
_cell_angle_beta 99.81
_cell_angle_gamma 90.00
loop_
_space_group_symop_operation_xyz
'x,y,z'
loop_
_atom_site_label
_atom_site_type_symbol
_atom_site_fract_x
_atom_site_fract_y
_atom_site_fract_z
_atom_site_occupancy
O1 O 0.073 0.500 0.478 1
O2 O 0.500 0.000 0.068 1
O3 O 0.073 0.000 0.978 1
O4 O 0.500 0.500 0.568 1
Ni1 Ni 0.786 0.000 0.023 1
Ni2 Ni 0.287 0.000 0.523 1
Ni3 Ni 0.786 0.500 0.523 1
Ni4 Ni 0.287 0.500 0.023 1
Hg1 Hg 0.544 0.500 0.797 1
Hg2 Hg 0.028 0.500 0.249 1
Hg3 Hg 0.544 0.000 0.297 1
Hg4 Hg 0.028 0.000 0.749 1
```

=====

Entry iii
Density functional theory data (PBE+U) for a geometry-optimized NiHgO structure.

For the calculated volume, the calculation gives 16.25 A^3/atom. The calculation puts the total magnetization at 0.334 μB per atom. The value obtained for the density of states at the Fermi level is 0.165 states/eV per atom. As for the crystal system: triclinic. The symmetry is No. 2. The calculation puts the density at 9.38 g/cm3.

```
data_NiHgO
_chemical_formula_sum 'Ni2 Hg2 O2'
_space_group_name_H-M_alt 'P 1'
_space_group_IT_number 1
_cell_length_a 3.931
_cell_length_b 3.416
_cell_length_c 11.528
_cell_angle_alpha 104.47
_cell_angle_beta 137.76
_cell_angle_gamma 69.52
loop_
_space_group_symop_operation_xyz
'x,y,z'
loop_
_atom_site_label
_atom_site_type_symbol
_atom_site_fract_x
_atom_site_fract_y
_atom_site_fract_z
_atom_site_occupancy
Ni1 Ni 0.360 0.679 0.571 1
Ni2 Ni 0.640 0.321 0.429 1
O1 O 0.351 0.086 0.019 1
O2 O 0.649 0.914 0.981 1
Hg1 Hg 0.415 0.326 0.776 1
Hg2 Hg 0.585 0.674 0.224 1
```

=====

Entry iv
Density functional theory data (PBE+U) for a geometry-optimized NiHgO structure.

For the calculated volume, the calculation gives 17.94 A^3/atom. The calculation puts the total magnetization at 0.673 μB per atom. The value obtained for the density of states at the Fermi level is 0.176 states/eV per atom. As for the crystal system: monoclinic. The symmetry is No. 12. The calculation puts the density at 8.49 g/cm3.

```
data_NiHgO
_chemical_formula_sum 'Ni2 Hg2 O2'
_space_group_name_H-M_alt 'P 1'
_space_group_IT_number 1
_cell_length_a 6.530
_cell_length_b 3.898
_cell_length_c 4.229
_cell_angle_alpha 90.00
_cell_angle_beta 90.92
_cell_angle_gamma 90.00
loop_
_space_group_symop_operation_xyz
'x,y,z'
loop_
_atom_site_label
_atom_site_type_symbol
_atom_site_fract_x
_atom_site_fract_y
_atom_site_fract_z
_atom_site_occupancy
Ni1 Ni 0.500 0.500 0.000 1
Ni2 Ni 0.500 0.000 0.500 1
O1 O 0.500 0.500 0.500 1
O2 O 0.500 0.000 0.000 1
Hg1 Hg 0.000 0.000 0.500 1
Hg2 Hg 0.000 0.500 0.000 1
```

=====

Energy comparison, zero being the most stable, in meV per atom: entry i 49; entry ii 41; entry iii 730; entry iv 0.

=====

Entry i
Density functional theory data (PBE+U) for a geometry-optimized NiHgPO2 structure.

For the calculated volume, the calculation gives 17.39 A^3/atom. The calculation puts the total magnetization at 0.328 μB per atom. The value obtained for the density of states at the Fermi level is 1.026 states/eV per atom. As for the crystal system: tetragonal. The symmetry is No. 123. The calculation puts the density at 6.16 g/cm3.

```
data_NiHgPO2
_chemical_formula_sum 'Ni1 Hg1 P1 O2'
_space_group_name_H-M_alt 'P 1'
_space_group_IT_number 1
_cell_length_a 4.066
_cell_length_b 4.066
_cell_length_c 5.259
_cell_angle_alpha 90.00
_cell_angle_beta 90.00
_cell_angle_gamma 90.00
loop_
_space_group_symop_operation_xyz
'x,y,z'
loop_
_atom_site_label
_atom_site_type_symbol
_atom_site_fract_x
_atom_site_fract_y
_atom_site_fract_z
_atom_site_occupancy
Ni1 Ni 0.500 0.500 0.500 1
O1 O 0.500 0.000 0.000 1
O2 O 0.000 0.500 0.000 1
Hg1 Hg 0.000 0.000 0.000 1
P1 P 0.000 0.000 0.500 1
```

=====

Entry ii
Density functional theory data (PBE+U) for a geometry-optimized NiHgPO2 structure.

For the calculated volume, the calculation gives 13.61 A^3/atom. The calculation puts the total magnetization at 0.257 μB per atom. The value obtained for the density of states at the Fermi level is 0.797 states/eV per atom. As for the crystal system: tetragonal. The symmetry is No. 123. The calculation puts the density at 7.87 g/cm3.

```
data_NiHgPO2
_chemical_formula_sum 'Ni1 Hg1 P1 O2'
_space_group_name_H-M_alt 'P 1'
_space_group_IT_number 1
_cell_length_a 3.737
_cell_length_b 3.737
_cell_length_c 4.872
_cell_angle_alpha 90.00
_cell_angle_beta 90.00
_cell_angle_gamma 90.00
loop_
_space_group_symop_operation_xyz
'x,y,z'
loop_
_atom_site_label
_atom_site_type_symbol
_atom_site_fract_x
_atom_site_fract_y
_atom_site_fract_z
_atom_site_occupancy
Hg1 Hg 0.500 0.500 0.500 1
O1 O 0.500 0.000 0.000 1
O2 O 0.000 0.500 0.000 1
Ni1 Ni 0.000 0.000 0.000 1
P1 P 0.000 0.000 0.500 1
```

=====

Energy comparison, zero being the most stable, in meV per atom: entry i 720; entry ii 0.

=====

Entry i
Density functional theory data (PBE+U) for a geometry-optimized NiHgP2O structure.

For the calculated volume, the calculation gives 15.61 A^3/atom. The calculation puts the total magnetization at 0.017 μB per atom. The value obtained for the density of states at the Fermi level is 0.584 states/eV per atom. As for the crystal system: tetragonal. The symmetry is No. 123. The calculation puts the density at 7.17 g/cm3.

```
data_NiHgP2O
_chemical_formula_sum 'Ni1 Hg1 P2 O1'
_space_group_name_H-M_alt 'P 1'
_space_group_IT_number 1
_cell_length_a 4.715
_cell_length_b 4.715
_cell_length_c 3.512
_cell_angle_alpha 90.00
_cell_angle_beta 90.00
_cell_angle_gamma 90.00
loop_
_space_group_symop_operation_xyz
'x,y,z'
loop_
_atom_site_label
_atom_site_type_symbol
_atom_site_fract_x
_atom_site_fract_y
_atom_site_fract_z
_atom_site_occupancy
Ni1 Ni 0.000 0.000 0.000 1
P1 P 0.000 0.500 0.000 1
P2 P 0.500 0.000 0.000 1
Hg1 Hg 0.500 0.500 0.500 1
O1 O 0.000 0.000 0.500 1
```

=====

Entry ii
Density functional theory data (PBE+U) for a geometry-optimized NiHgP2O structure.

For the calculated volume, the calculation gives 20.75 A^3/atom. The calculation puts the total magnetization at 0.112 μB per atom. The value obtained for the density of states at the Fermi level is 1.024 states/eV per atom. As for the crystal system: tetragonal. The symmetry is No. 123. The calculation puts the density at 5.40 g/cm3.

```
data_NiHgP2O
_chemical_formula_sum 'Ni1 Hg1 P2 O1'
_space_group_name_H-M_alt 'P 1'
_space_group_IT_number 1
_cell_length_a 5.080
_cell_length_b 5.080
_cell_length_c 4.021
_cell_angle_alpha 90.00
_cell_angle_beta 90.00
_cell_angle_gamma 90.00
loop_
_space_group_symop_operation_xyz
'x,y,z'
loop_
_atom_site_label
_atom_site_type_symbol
_atom_site_fract_x
_atom_site_fract_y
_atom_site_fract_z
_atom_site_occupancy
P1 P 0.000 0.500 0.000 1
P2 P 0.500 0.000 0.000 1
Ni1 Ni 0.500 0.500 0.500 1
O1 O 0.000 0.000 0.500 1
Hg1 Hg 0.000 0.000 0.000 1
```

=====

Energy comparison, zero being the most stable, in meV per atom: entry i 0; entry ii 855.